# GGA-PBE Ca2CoTc, optimized geometry
data_Ca2CoTc
_chemical_formula_sum 'Ca2 Co1 Tc1'
_cell_length_a 4.2369
_cell_length_b 4.2369
_cell_length_c 4.4803
_cell_angle_alpha 90.00
_cell_angle_beta 90.00
_cell_angle_gamma 90.00
_space_group_name_H-M_alt 'P 4/m m m'
_space_group_IT_number 123
_space_group_name_Hall '-P 4 2'
loop_
_atom_site_label
_atom_site_fract_x
_atom_site_fract_y
_atom_site_fract_z
Ca1 0.0000 0.5000 0.0000
Co1 0.0000 0.0000 0.5000
Tc1 0.5000 0.5000 0.5000
# M_tot = 2.68 Bohr magnetons per cell
# Formation energy = 2.99 eV per formula unit